Entry 1:
Density functional theory data (PBE-GGA) for a relaxed CsInI3 crystal.

```
data_CsInI3
_chemical_formula_sum 'Cs1 In1 I3'
_cell_length_a 6.1687
_cell_length_b 6.1687
_cell_length_c 6.1687
_cell_angle_alpha 90.00
_cell_angle_beta 90.00
_cell_angle_gamma 90.00
_space_group_name_H-M_alt 'P m -3 m'
_space_group_IT_number 221
_space_group_name_Hall '-P 4 2 3'
loop_
_atom_site_label
_atom_site_type_symbol
_atom_site_fract_x
_atom_site_fract_y
_atom_site_fract_z
Cs1 Cs 0.0000 0.0000 0.0000
In1 In 0.5000 0.5000 0.5000
I1 I 0.0000 0.5000 0.5000
```

Results
The total DFT energy (no corrections) comes out at -12.84 eV/cell. For the uncorrected formation energy, the calculation gives -0.920 eV/atom.

Entry 2:
Density functional theory data (PBE-GGA) for a relaxed BeInTe2 crystal.

```
data_BeInTe2
_chemical_formula_sum 'Be3 In3 Te6'
_cell_length_a 4.8081
_cell_length_b 4.8081
_cell_length_c 22.6460
_cell_angle_alpha 90.00
_cell_angle_beta 90.00
_cell_angle_gamma 120.00
_space_group_name_H-M_alt 'R -3 m'
_space_group_IT_number 166
_space_group_name_Hall '-R 3 2"'
loop_
_atom_site_label
_atom_site_type_symbol
_atom_site_fract_x
_atom_site_fract_y
_atom_site_fract_z
Be1 Be 0.0000 0.0000 0.0000
In1 In 0.0000 0.0000 0.5000
Te1 Te 0.0000 0.0000 0.0987
```

Results
The total DFT energy (no corrections) comes out at -37.40 eV/cell. The calculation puts the energy relative to the lowest polymorph listed for this composition at 247 meV per atom. For the uncorrected formation energy, the calculation gives 0.070 eV/atom.

Entry 3:
Density functional theory data (PBE-GGA) for a relaxed Cd2CoPb crystal.

```
data_Cd2CoPb
_chemical_formula_sum 'Cd4 Co2 Pb2'
_cell_length_a 5.6414
_cell_length_b 8.7061
_cell_length_c 3.4689
_cell_angle_alpha 90.00
_cell_angle_beta 90.75
_cell_angle_gamma 90.00
_space_group_name_H-M_alt 'C 1 2/m 1'
_space_group_IT_number 12
loop_
_space_group_symop_operation_xyz
'x,y,z'
'-x,-y,-z'
'-x,y,-z'
'x,-y,z'
'x+1/2,y+1/2,z'
'-x+1/2,-y+1/2,-z'
'-x+1/2,y+1/2,-z'
'x+1/2,-y+1/2,z'
loop_
_atom_site_label
_atom_site_type_symbol
_atom_site_fract_x
_atom_site_fract_y
_atom_site_fract_z
Cd1 Cd 0.2500 0.2500 0.0000
Co1 Co 0.0000 0.0000 0.5000
Pb1 Pb 0.0000 0.5000 0.5000
```

Results
The total DFT energy (no corrections) comes out at -21.78 eV/cell. The calculation puts the energy relative to the elements at 438.4 meV/atom.

Entry 4:
Density functional theory data (PBE-GGA) for a relaxed PmSnHg2 crystal.

```
data_PmSnHg2
_chemical_formula_sum 'Pm4 Sn4 Hg8'
_cell_length_a 6.5464
_cell_length_b 6.5645
_cell_length_c 9.5838
_cell_angle_alpha 90.00
_cell_angle_beta 90.00
_cell_angle_gamma 90.00
_space_group_name_H-M_alt 'F m m m'
_space_group_IT_number 69
_space_group_name_Hall '-F 2 2'
loop_
_atom_site_label
_atom_site_type_symbol
_atom_site_fract_x
_atom_site_fract_y
_atom_site_fract_z
Pm1 Pm 0.0000 0.0000 0.0000
Sn1 Sn 0.0000 0.0000 0.5000
Hg1 Hg 0.2500 0.2500 0.2500
```

Results
The total DFT energy (no corrections) comes out at -44.29 eV/cell. The calculation puts the energy relative to the elements at -429.0 meV/atom.

Question: The highest total DFT energy (no corrections) belongs to which entry?
Answer: CsInI3

Question: Which value of total DFT energy (no corrections) does entry 2 give?
Answer: -37.40 eV/cell

Question: Which value of total DFT energy (no corrections) does entry 1 give?
Answer: -12.84 eV/cell

Question: Number 2 is which compound?
Answer: BeInTe2